Compound: KWIO2
Source: the Alexandria database
Functional: GGA+U
Structure: relaxed

Structure (POSCAR):
```
KWIO2
1.0
4.206 0.000 0.000
0.000 4.206 0.000
0.000 0.000 5.846
K W I O
1 1 1 2
direct
0.000 0.000 0.000
0.500 0.500 0.500
0.500 0.500 0.000
0.000 0.500 0.500
0.500 0.000 0.500
```

Summary:
ΔE to the lowest computed polymorph   0 meV/atom
Total moment   2.0 μB/cell